Record 1
An optimized crystal structure of NbFe2W, computed with PBE-GGA.

Space-group type: No. 122
M_tot: 2.7 μB per formula unit
Distance to the lowest polymorph of the same formula: 541 meV/atom
ρ: 10.74 g/cm³

Cell: 6.742 6.742 5.451 Å, 51.80 51.80 90.00°
Last column: magnetic moment on the atom in μB.
Positions (direct):
Nb  0.250  0.750  0.500  -0.11
W  0.750  0.250  0.500  -0.14
Fe  0.375  0.364  0.750  1.43
Fe  0.875  0.886  0.750  1.45
Fe  0.114  0.625  0.250  1.44
W  0.000  0.000  0.000  -0.14
Nb  0.500  0.500  0.000  -0.11
Fe  0.636  0.125  0.250  1.43

Record 2
An optimized crystal structure of TmZn2Cd2, computed with PBE-GGA.

Space-group type: No. 12
DFT total energy: -9.8 eV per cell
M_tot: 0.0 μB per formula unit
ρ: 8.57 g/cm³

Cell: 4.685 4.654 6.010 Å, 112.31 90.00 120.22°
Positions (direct):
Cd  0.713  0.925  0.638
Zn  0.913  0.325  0.240
Cd  0.287  0.075  0.362
Zn  0.087  0.675  0.760
Tm  0.500  0.500  0.000

Record 3
An optimized crystal structure of Ta2PbW, computed with PBE-GGA.

Space-group type: No. 122
DFT total energy: -72.5 eV per cell
M_tot: 0.0 μB per formula unit
ρ: 14.62 g/cm³

Cell: 7.788 7.788 6.187 Å, 50.99 50.99 90.00°
Positions (direct):
W  0.250  0.750  0.500
W  0.500  0.500  0.000
Ta  0.578  0.125  0.250
Ta  0.875  0.828  0.750
Pb  0.750  0.250  0.500
Ta  0.172  0.625  0.250
Pb  0.000  0.000  0.000
Ta  0.375  0.422  0.750

Record 4
An optimized crystal structure of YLuMnCu, computed with PBE-GGA.

Space-group type: No. 216
DFT total energy: -24.2 eV per cell
M_tot: 3.3 μB per formula unit
ρ: 7.56 g/cm³

Cell: 4.915 4.915 4.915 Å, 60.00 60.00 60.00°
Last column: magnetic moment on the atom in μB.
Positions (direct):
Cu  0.000  0.000  0.000  0.02
Mn  0.500  0.500  0.500  3.40
Y  0.250  0.250  0.250  -0.10
Lu  0.750  0.750  0.750  -0.11

Record 5
An optimized crystal structure of RbGe3, computed with PBE-GGA.

Space-group type: No. 139
M_tot: 0.0 μB per formula unit
Distance to the lowest polymorph of the same formula: 432 meV/atom
ρ: 3.98 g/cm³

Cell: 4.717 4.717 6.592 Å, 110.96 110.96 90.00°
Positions (direct):
Ge  0.709  0.709  0.418
Ge  0.500  0.500  0.000
Ge  0.291  0.291  0.582
Rb  0.000  0.000  0.000

Record 6
An optimized crystal structure of Tb2CeTm, computed with PBE-GGA.

Space-group type: No. 63
M_tot: 1.4 μB per formula unit
Distance to the lowest polymorph of the same formula: 133 meV/atom
ρ: 8.24 g/cm³

Cell: 11.255 9.466 6.452 Å, 42.81 51.91 32.76°
Last column: magnetic moment on the atom in μB.
Positions (direct):
Tb  0.250  0.097  0.177  0.07
Tm  0.750  0.410  0.180  0.09
Tb  0.250  0.726  0.177  0.07
Tb  0.750  0.274  0.823  0.07
Ce  0.500  0.000  0.500  0.84
Tm  0.250  0.590  0.820  0.09
Tb  0.750  0.903  0.823  0.07
Ce  0.000  0.500  0.500  0.84

M_tot of number 6 (Tb2CeTm)?
1.4 μB per formula unit

Look up the ρ of the first one.
10.74 g/cm³